Entry 1:
An optimized crystal structure of BaSiW, computed with PBE-GGA.

Output
Uncorrected formation energy ... 0.7245 eV/atom

Unit cell a=3.6549 b=3.6549 c=6.4532 alpha=90.00 beta=90.00 gamma=120.00
Space group P3m1 (No. 156)
Symmetry-distinct sites (fractional):
1 Ba 0.0000 0.0000 0.0000
2 Si 0.6667 0.3333 0.3861
3 W 0.3333 0.6667 0.5808

---

Entry 2:
An optimized crystal structure of Sc6InSi2, computed with PBE-GGA.

Output
Uncorrected formation energy ... -0.5575 eV/atom

Unit cell a=8.829 b=8.870 c=9.795 alpha=90.00 beta=90.00 gamma=90.00
Space group Immm (No. 71)
Symmetry-distinct sites (fractional):
1 Sc 0.000 0.203 0.179
2 Sc 0.187 0.219 0.500
3 Sc 0.205 0.500 0.254
4 In 0.000 0.500 0.000
5 In 0.000 0.500 0.500
6 Si 0.000 0.000 0.379
7 Si 0.146 0.000 0.000

---

Entry 3:
An optimized crystal structure of RbLa2Tm, computed with PBE-GGA.

Output
Energy relative to the elements ... 0.233 eV per atom

Unit cell a=3.7257 b=3.7257 c=40.9428 alpha=90.00 beta=90.00 gamma=120.00
Space group R-3m (No. 166, hexagonal axes)
Symmetry-distinct sites (fractional):
1 Rb 0.0000 0.0000 0.0000
2 La 0.0000 0.0000 0.0975
3 Tm 0.0000 0.0000 0.5000

---

Entry 4:
An optimized crystal structure of LaH3Pt, computed with PBE-GGA.

Unit cell a=3.254 b=4.289 c=10.134 alpha=90.00 beta=90.00 gamma=90.00
Space group Amm2 (No. 38)
Symmetry-distinct sites (fractional):
1 La 0.000 0.000 0.000
2 H 0.000 0.210 0.698
3 H 0.500 0.000 0.850
4 Pt 0.500 0.000 0.679

---

Entry 5:
An optimized crystal structure of ZnAgRh2I, computed with PBE-GGA.

Output
Uncorrected formation energy ... 0.7665 eV/atom

Unit cell a=4.714 b=4.714 c=4.752 alpha=90.00 beta=90.00 gamma=90.00
Space group P4/mmm (No. 123)
Symmetry-distinct sites (fractional):
1 Zn 0.000 0.000 0.000
2 Ag 0.000 0.000 0.500
3 Rh 0.000 0.500 0.000
4 I 0.500 0.500 0.500

---

Entry 6:
An optimized crystal structure of ReRuBr2, computed with PBE-GGA.

Output
Uncorrected formation energy ... 0.5728 eV/atom
Energy above the most stable polymorph in this dataset ... 303 meV/atom

Unit cell a=3.099 b=3.410 c=17.829 alpha=90.00 beta=90.00 gamma=90.00
Space group Imm2 (No. 44)
Symmetry-distinct sites (fractional):
1 Re 0.000 0.000 0.000
2 Ru 0.000 0.500 0.913
3 Br 0.000 0.000 0.599
4 Br 0.000 0.500 0.312

---

Entry 7:
An optimized crystal structure of HfSc2Si, computed with PBE-GGA.

Output
Uncorrected formation energy ... 0.0724 eV/atom

Unit cell a=3.1305 b=3.1305 c=30.3004 alpha=90.00 beta=90.00 gamma=120.00
Space group R-3m (No. 166, hexagonal axes)
Symmetry-distinct sites (fractional):
1 Hf 0.0000 0.0000 0.0000
2 Sc 0.0000 0.0000 0.0990
3 Si 0.0000 0.0000 0.5000

---

Entry 8:
An optimized crystal structure of MnAsP2N, computed with PBE-GGA.

Output
Uncorrected formation energy ... 0.4426 eV/atom

Unit cell a=4.616 b=4.616 c=3.424 alpha=90.00 beta=90.00 gamma=90.00
Space group P4/mmm (No. 123)
Symmetry-distinct sites (fractional):
1 Mn 0.000 0.000 0.000
2 As 0.500 0.500 0.500
3 P 0.000 0.500 0.000
4 N 0.000 0.000 0.500

---

no.,final energy (hartree per atom)
1,-0.2220
2,-0.2311
3,-0.1319
4,-0.1635
5,-0.1216
6,-0.2093
7,-0.2549
8,-0.2260